1.
# PBE HoRe2, optimized geometry
# magnetization = 0.00 μB/f.u.
# formation energy from the elements = -0.247 eV/atom
# volume = 56 Å³/f.u.
data_HoRe2
_chemical_formula_sum 'Ho4 Re8'
_space_group_name_H-M_alt 'P 63/m m c'
_space_group_IT_number 194
_space_group_name_Hall '-P 6c 2c'
_cell_length_a 5.4048
_cell_length_b 5.4048
_cell_length_c 8.8202
_cell_angle_alpha 90.00
_cell_angle_beta 90.00
_cell_angle_gamma 120.00
loop_
_atom_site_label
_atom_site_type_symbol
_atom_site_fract_x
_atom_site_fract_y
_atom_site_fract_z
_atom_site_occupancy
Ho1 Ho 0.3333 0.6667 0.0620 1
Re1 Re 0.0000 0.0000 0.0000 1
Re2 Re 0.1712 0.3424 0.7500 1

=====

2.
# PBE LiAg2HgF8, optimized geometry
# magnetization = 3.04 μB/f.u.
# formation energy without anion corrections = -1.352 eV/atom
# volume = 158 Å³/f.u.
data_LiAg2HgF8
_chemical_formula_sum 'Li2 Ag4 Hg2 F16'
_space_group_name_H-M_alt 'I -4'
_space_group_IT_number 82
_cell_length_a 5.404
_cell_length_b 5.404
_cell_length_c 10.809
_cell_angle_alpha 90.00
_cell_angle_beta 90.00
_cell_angle_gamma 90.00
loop_
_space_group_symop_operation_xyz
'x,y,z'
'y,-x,-z'
'-x,-y,z'
'-y,x,-z'
'x+1/2,y+1/2,z+1/2'
'y+1/2,-x+1/2,-z+1/2'
'-x+1/2,-y+1/2,z+1/2'
'-y+1/2,x+1/2,-z+1/2'
loop_
_atom_site_label
_atom_site_type_symbol
_atom_site_fract_x
_atom_site_fract_y
_atom_site_fract_z
_atom_site_occupancy
Li1 Li 0.000 0.000 0.000 1
Ag1 Ag 0.000 0.000 0.500 1
Ag2 Ag 0.000 0.500 0.250 1
Hg1 Hg 0.000 0.500 0.750 1
F1 F 0.239 0.254 0.377 1
F2 F 0.241 0.255 0.121 1

=====

3.
# PBE TaTiMn2N, optimized geometry
# magnetization = 5.17 μB/f.u.
# formation energy without anion corrections = 2.280 eV/atom
# volume = 105 Å³/f.u.
data_TaTiMn2N
_chemical_formula_sum 'Ta1 Ti1 Mn2 N1'
_space_group_name_H-M_alt 'P 4/m m m'
_space_group_IT_number 123
_space_group_name_Hall '-P 4 2'
_cell_length_a 4.601
_cell_length_b 4.601
_cell_length_c 4.948
_cell_angle_alpha 90.00
_cell_angle_beta 90.00
_cell_angle_gamma 90.00
loop_
_atom_site_label
_atom_site_type_symbol
_atom_site_fract_x
_atom_site_fract_y
_atom_site_fract_z
_atom_site_occupancy
Ta1 Ta 0.000 0.000 0.000 1
Ti1 Ti 0.000 0.000 0.500 1
Mn1 Mn 0.000 0.500 0.000 1
N1 N 0.500 0.500 0.500 1

=====

4.
# PBE La3Ga4Rh2, optimized geometry
# magnetization = 0.00 μB/f.u.
# ΔE to the lowest computed polymorph = 0 meV per atom
# formation energy from the elements = -0.755 eV/atom
# volume = 203 Å³/f.u.
data_La3Ga4Rh2
_chemical_formula_sum 'La6 Ga8 Rh4'
_space_group_name_H-M_alt 'C 1 2/m 1'
_space_group_IT_number 12
_cell_length_a 11.473
_cell_length_b 4.287
_cell_length_c 8.826
_cell_angle_alpha 90.00
_cell_angle_beta 110.98
_cell_angle_gamma 90.00
loop_
_space_group_symop_operation_xyz
'x,y,z'
'-x,-y,-z'
'-x,y,-z'
'x,-y,z'
'x+1/2,y+1/2,z'
'-x+1/2,-y+1/2,-z'
'-x+1/2,y+1/2,-z'
'x+1/2,-y+1/2,z'
loop_
_atom_site_label
_atom_site_type_symbol
_atom_site_fract_x
_atom_site_fract_y
_atom_site_fract_z
_atom_site_occupancy
La1 La 0.000 0.000 0.000 1
La2 La 0.185 0.500 0.639 1
Ga1 Ga 0.019 0.000 0.356 1
Ga2 Ga 0.242 0.500 0.080 1
Rh1 Rh 0.109 0.500 0.269 1

=====

5.
# PBE ReSiTcRu, optimized geometry
# magnetization = 0.00 μB/f.u.
# formation energy without anion corrections = -0.268 eV/atom
# volume = 55 Å³/f.u.
data_ReSiTcRu
_chemical_formula_sum 'Re1 Si1 Tc1 Ru1'
_space_group_name_H-M_alt 'P 4 m m'
_space_group_IT_number 99
_cell_length_a 2.867
_cell_length_b 2.867
_cell_length_c 6.665
_cell_angle_alpha 90.00
_cell_angle_beta 90.00
_cell_angle_gamma 90.00
loop_
_space_group_symop_operation_xyz
'x,y,z'
'-y,x,z'
'-x,-y,z'
'y,-x,z'
'-x,y,z'
'y,x,z'
'x,-y,z'
'-y,-x,z'
loop_
_atom_site_label
_atom_site_type_symbol
_atom_site_fract_x
_atom_site_fract_y
_atom_site_fract_z
_atom_site_occupancy
Re1 Re 0.000 0.000 0.000 1
Si1 Si 0.000 0.000 0.502 1
Tc1 Tc 0.500 0.500 0.271 1
Ru1 Ru 0.500 0.500 0.718 1

=====

6.
# PBE VIr2Cl, optimized geometry
# magnetization = 0.00 μB/f.u.
# formation energy without anion corrections = 0.725 eV/atom
# ΔE to the lowest computed polymorph = 14 meV per atom
# volume = 80 Å³/f.u.
data_VIr2Cl
_chemical_formula_sum 'V4 Ir8 Cl4'
_space_group_name_H-M_alt 'I -4 2 d'
_space_group_IT_number 122
_space_group_name_Hall 'I -4 2bw'
_cell_length_a 5.913
_cell_length_b 5.913
_cell_length_c 9.158
_cell_angle_alpha 90.00
_cell_angle_beta 90.00
_cell_angle_gamma 90.00
loop_
_atom_site_label
_atom_site_type_symbol
_atom_site_fract_x
_atom_site_fract_y
_atom_site_fract_z
_atom_site_occupancy
V1 V 0.000 0.000 0.000 1
Ir1 Ir 0.237 0.250 0.125 1
Cl1 Cl 0.000 0.000 0.500 1